# 1
Here is a relaxed LiEr2NpAs4 crystal from Alexandria via LeMat-Bulk. Energies are from PBE.

Calculated values
* total DFT energy (no corrections): -6.26 eV/atom
* symmetry: No. 10

a = 6.8919 Å, b = 4.0843 Å, c = 7.0682 Å
α = 90.00°, β = 108.68°, γ = 90.00°
Closest atoms and distances in Å follow each position.
Fractional positions:
Li: 0.0000 0.0000 0.0000  6 As 2.81-2.89
Er: 0.0000 0.5000 0.5000  6 As 2.90
Er: 0.5000 0.0000 0.5000  6 As 2.86-2.88
Np: 0.5000 0.5000 0.0000  6 As 2.77-2.86
As: 0.2510 0.0000 0.7555  1 Li 2.81, 3 Er 2.86-2.90, 2 Np 2.86
As: 0.2565 0.5000 0.2451  1 Np 2.77, 3 Er 2.88-2.90, 2 Li 2.89
As: 0.7435 0.5000 0.7549  1 Np 2.77, 3 Er 2.88-2.90, 2 Li 2.89
As: 0.7490 0.0000 0.2445  1 Li 2.81, 3 Er 2.86-2.90, 2 Np 2.86


# 2
Here is a relaxed HfAlAg crystal from Alexandria via LeMat-Bulk. Energies are from PBE.

Calculated values
* total DFT energy (no corrections): -5.68 eV/atom
* symmetry: No. 10

a = 5.0978 Å, b = 2.9462 Å, c = 7.4233 Å
α = 90.00°, β = 96.01°, γ = 90.00°
Closest atoms and distances in Å follow each position.
Fractional positions:
Hf: 0.2257 0.0000 0.3611  6 Al 2.94-3.00, 3 Hf 2.95-3.25, 3 Ag 3.15-3.17
Hf: 0.7743 0.0000 0.6389  6 Al 2.94-3.00, 3 Hf 2.95-3.25, 3 Ag 3.15-3.17
Al: 0.2799 0.5000 0.7053  3 Ag 2.73-2.78, 6 Hf 2.94-3.00, 2 Al 2.95
Al: 0.7201 0.5000 0.2947  3 Ag 2.73-2.78, 6 Hf 2.94-3.00, 2 Al 2.95
Ag: 0.0000 0.5000 0.0000  2 Al 2.73, 6 Ag 2.94-2.95
Ag: 0.5000 0.0000 0.0000  4 Al 2.78, 6 Ag 2.94-2.95


> Number 2 is which compound?

HfAlAg


> Look up the total DFT energy (no corrections) of the first one.

-6.26 eV/atom


> The lowest total DFT energy (no corrections) belongs to which entry?

LiEr2NpAs4


> Number 1 is which compound?

LiEr2NpAs4